# BaRuW2 (PBE, relaxed)
data_BaRuW2
_space_group_name_H-M_alt 'P 1 2/m 1'
_space_group_IT_number 10
_space_group_name_Hall '-P 2y'
_cell_length_a 4.751
_cell_length_b 3.164
_cell_length_c 5.218
_cell_angle_alpha 90.00
_cell_angle_beta 90.11
_cell_angle_gamma 90.00
loop_
_atom_site_label
_atom_site_type_symbol
_atom_site_fract_x
_atom_site_fract_y
_atom_site_fract_z
Ba1 Ba 0.000 0.000 0.000
Ru1 Ru 0.500 0.500 0.000
W1 W 0.000 0.500 0.500
W2 W 0.500 0.000 0.500
# - energy relative to the elements (eV/atom) = 1.422
# - polymorph energy (0 for the lowest one) (meV per atom) = 707
# - crystal system = monoclinic

# LiLaPt (PBE, relaxed)
data_LiLaPt
_space_group_name_H-M_alt 'P -6 m 2'
_space_group_IT_number 187
_space_group_name_Hall 'P -6 2'
_cell_length_a 4.3666
_cell_length_b 4.3666
_cell_length_c 4.0022
_cell_angle_alpha 90.00
_cell_angle_beta 90.00
_cell_angle_gamma 120.00
loop_
_atom_site_label
_atom_site_type_symbol
_atom_site_fract_x
_atom_site_fract_y
_atom_site_fract_z
Li1 Li 0.0000 0.0000 0.0000
La1 La 0.3333 0.6667 0.5000
Pt1 Pt 0.6667 0.3333 0.0000
# - energy relative to the elements (eV/atom) = -0.749
# - polymorph energy (0 for the lowest one) (meV per atom) = 99
# - crystal system = hexagonal

# AlAg2Pd (PBE, relaxed)
data_AlAg2Pd
_space_group_name_H-M_alt 'I -4 2 d'
_space_group_IT_number 122
_space_group_name_Hall 'I -4 2bw'
_cell_length_a 7.309
_cell_length_b 7.309
_cell_length_c 5.317
_cell_angle_alpha 90.00
_cell_angle_beta 90.00
_cell_angle_gamma 90.00
loop_
_atom_site_label
_atom_site_type_symbol
_atom_site_fract_x
_atom_site_fract_y
_atom_site_fract_z
Al1 Al 0.000 0.000 0.000
Ag1 Ag 0.232 0.250 0.125
Pd1 Pd 0.000 0.000 0.500
# - energy relative to the elements (eV/atom) = 0.010
# - crystal system = tetragonal

# Co2SiAgSn (PBE, relaxed)
data_Co2SiAgSn
_space_group_name_H-M_alt 'P 4/m m m'
_space_group_IT_number 123
_space_group_name_Hall '-P 4 2'
_cell_length_a 4.727
_cell_length_b 4.727
_cell_length_c 5.069
_cell_angle_alpha 90.00
_cell_angle_beta 90.00
_cell_angle_gamma 90.00
loop_
_atom_site_label
_atom_site_type_symbol
_atom_site_fract_x
_atom_site_fract_y
_atom_site_fract_z
Co1 Co 0.000 0.500 0.000
Si1 Si 0.000 0.000 0.500
Ag1 Ag 0.500 0.500 0.500
Sn1 Sn 0.500 0.500 0.000
# - energy relative to the elements, uncorrected (eV/atom) = 1.3700
# - crystal system = tetragonal

# Fe2SbBr (PBE, relaxed)
data_Fe2SbBr
_space_group_name_H-M_alt 'C 1 2/m 1'
_space_group_IT_number 12
_space_group_name_Hall '-C 2y'
_cell_length_a 6.751
_cell_length_b 6.738
_cell_length_c 3.155
_cell_angle_alpha 90.00
_cell_angle_beta 92.09
_cell_angle_gamma 90.00
loop_
_atom_site_label
_atom_site_type_symbol
_atom_site_fract_x
_atom_site_fract_y
_atom_site_fract_z
Fe1 Fe 0.250 0.250 0.000
Sb1 Sb 0.000 0.000 0.500
Br1 Br 0.000 0.500 0.500
# - energy relative to the elements, uncorrected (eV/atom) = 0.6007
# - polymorph energy (0 for the lowest one) (meV per atom) = 534
# - crystal system = monoclinic

# MnCd2Ir2 (PBE, relaxed)
data_MnCd2Ir2
_space_group_name_H-M_alt 'P 4/m b m'
_space_group_IT_number 127
_space_group_name_Hall '-P 4 2ab'
_cell_length_a 7.742
_cell_length_b 7.742
_cell_length_c 3.009
_cell_angle_alpha 90.00
_cell_angle_beta 90.00
_cell_angle_gamma 90.00
loop_
_atom_site_label
_atom_site_type_symbol
_atom_site_fract_x
_atom_site_fract_y
_atom_site_fract_z
Mn1 Mn 0.000 0.000 0.000
Cd1 Cd 0.132 0.368 0.000
Ir1 Ir 0.168 0.668 0.500
# - energy relative to the elements (eV/atom) = 0.517
# - polymorph energy (0 for the lowest one) (meV per atom) = 392
# - crystal system = tetragonal

# K4In5Au6 (PBE, relaxed)
data_K4In5Au6
_space_group_name_H-M_alt 'C m c 21'
_space_group_IT_number 36
_space_group_name_Hall 'C 2c -2'
_cell_length_a 4.769
_cell_length_b 21.599
_cell_length_c 17.311
_cell_angle_alpha 90.00
_cell_angle_beta 90.00
_cell_angle_gamma 90.00
loop_
_atom_site_label
_atom_site_type_symbol
_atom_site_fract_x
_atom_site_fract_y
_atom_site_fract_z
K1 K 0.000 0.004 0.000
K2 K 0.000 0.023 0.770
K3 K 0.000 0.173 0.306
K4 K 0.000 0.182 0.936
In1 In 0.000 0.131 0.619
In2 In 0.000 0.303 0.610
In3 In 0.000 0.344 0.261
In4 In 0.000 0.361 0.979
In5 In 0.000 0.436 0.677
Au1 Au 0.000 0.125 0.128
Au2 Au 0.000 0.211 0.494
Au3 Au 0.000 0.220 0.736
Au4 Au 0.000 0.430 0.381
Au5 Au 0.000 0.437 0.130
Au6 Au 0.000 0.438 0.849
# - energy relative to the elements (eV/atom) = -0.257
# - crystal system = orthorhombic

# BaSbP4 (PBE, relaxed)
data_BaSbP4
_space_group_name_H-M_alt 'F -4 3 m'
_space_group_IT_number 216
_space_group_name_Hall 'F -4 2 3'
_cell_length_a 8.481
_cell_length_b 8.481
_cell_length_c 8.481
_cell_angle_alpha 90.00
_cell_angle_beta 90.00
_cell_angle_gamma 90.00
loop_
_atom_site_label
_atom_site_type_symbol
_atom_site_fract_x
_atom_site_fract_y
_atom_site_fract_z
Ba1 Ba 0.000 0.000 0.000
Sb1 Sb 0.250 0.250 0.250
P1 P 0.094 0.094 0.594
# - energy relative to the elements, uncorrected (eV/atom) = -0.0803
# - crystal system = cubic

# ZnCuSbBr2 (PBE, relaxed)
data_ZnCuSbBr2
_space_group_name_H-M_alt 'P 4/m m m'
_space_group_IT_number 123
_space_group_name_Hall '-P 4 2'
_cell_length_a 4.842
_cell_length_b 4.842
_cell_length_c 5.635
_cell_angle_alpha 90.00
_cell_angle_beta 90.00
_cell_angle_gamma 90.00
loop_
_atom_site_label
_atom_site_type_symbol
_atom_site_fract_x
_atom_site_fract_y
_atom_site_fract_z
Zn1 Zn 0.000 0.000 0.000
Cu1 Cu 0.500 0.500 0.500
Sb1 Sb 0.500 0.500 0.000
Br1 Br 0.000 0.500 0.500
# - energy relative to the elements, uncorrected (eV/atom) = 0.2461
# - crystal system = tetragonal

# Y7SeBr12 (PBE, relaxed)
data_Y7SeBr12
_space_group_name_H-M_alt 'R -3'
_space_group_IT_number 148
_space_group_name_Hall '-R 3'
_cell_length_a 14.7570
_cell_length_b 14.7570
_cell_length_c 9.7793
_cell_angle_alpha 90.00
_cell_angle_beta 90.00
_cell_angle_gamma 120.00
loop_
_atom_site_label
_atom_site_type_symbol
_atom_site_fract_x
_atom_site_fract_y
_atom_site_fract_z
Y1 Y 0.0000 0.0000 0.0000
Y2 Y 0.0456 0.1649 0.3405
Se1 Se 0.0000 0.0000 0.5000
Br1 Br 0.0247 0.5866 0.1619
Br2 Br 0.0511 0.1840 0.8417
# - energy relative to the elements, uncorrected (eV/atom) = -1.6638
# - crystal system = trigonal

# AcAlGa2Pd5 (PBE, relaxed)
data_AcAlGa2Pd5
_space_group_name_H-M_alt 'P 4/m m m'
_space_group_IT_number 123
_space_group_name_Hall '-P 4 2'
_cell_length_a 4.797
_cell_length_b 4.797
_cell_length_c 7.521
_cell_angle_alpha 90.00
_cell_angle_beta 90.00
_cell_angle_gamma 90.00
loop_
_atom_site_label
_atom_site_type_symbol
_atom_site_fract_x
_atom_site_fract_y
_atom_site_fract_z
Ac1 Ac 0.000 0.000 0.000
Al1 Al 0.000 0.000 0.500
Ga1 Ga 0.500 0.500 0.329
Pd1 Pd 0.000 0.500 0.308
Pd2 Pd 0.500 0.500 0.000
# - energy relative to the elements (eV/atom) = -0.519
# - crystal system = tetragonal

# PrZn6Pd6 (PBE, relaxed)
data_PrZn6Pd6
_space_group_name_H-M_alt 'I m m m'
_space_group_IT_number 71
_space_group_name_Hall '-I 2 2'
_cell_length_a 5.246
_cell_length_b 8.866
_cell_length_c 8.933
_cell_angle_alpha 90.00
_cell_angle_beta 90.00
_cell_angle_gamma 90.00
loop_
_atom_site_label
_atom_site_type_symbol
_atom_site_fract_x
_atom_site_fract_y
_atom_site_fract_z
Pr1 Pr 0.000 0.000 0.000
Zn1 Zn 0.000 0.262 0.500
Zn2 Zn 0.250 0.250 0.250
Pd1 Pd 0.000 0.000 0.344
Pd2 Pd 0.000 0.345 0.000
Pd3 Pd 0.000 0.500 0.307
# - energy relative to the elements (eV/atom) = -0.533
# - crystal system = orthorhombic

Total energy readings, ordered: -7.85; -5.04; -3.65; -3.93; -5.08; -5.23; -2.77; -4.69; -2.32; -5.10; -4.95; -3.89 eV per atom
DOS(E_F) readings, ordered: 5.34; 1.18; 1.47; 5.37; 6.55; 3.70; 5.21; 4.67; 5.77; 3.50; 3.97; 5.36 states/eV/f.u.